(1)
Below is a crystal of Cu3Pt2 relaxed with PBEsol, with properties calculated at the meta-GGA SCAN level.

Summary:
formation energy from the elements: -0.081 eV per atom

Structure (CIF):
```
data_Cu3Pt2
_cell_length_a 4.565
_cell_length_b 2.689
_cell_length_c 10.708
_cell_angle_alpha 90.00
_cell_angle_beta 97.67
_cell_angle_gamma 90.00
_symmetry_space_group_name_H-M 'P 1 21/m 1'
_symmetry_Int_Tables_number 11
loop_
_symmetry_equiv_pos_as_xyz
'x,y,z'
'-x,-y,-z'
'-x,y+1/2,-z'
'x,-y+1/2,z'
loop_
_atom_site_label
_atom_site_type_symbol
_atom_site_fract_x
_atom_site_fract_y
_atom_site_fract_z
Cu1 Cu 0.050 0.250 0.409
Cu2 Cu 0.346 0.750 0.788
Cu3 Cu 0.441 0.250 0.593
Pt1 Pt 0.156 0.750 0.217
Pt2 Pt 0.251 0.250 0.998
```



(2)
Below is a crystal of TlHg2P relaxed with PBEsol, with properties calculated at the meta-GGA SCAN level.

Summary:
formation energy from the elements: 0.371 eV per atom

Structure (CIF):
```
data_TlHg2P
_cell_length_a 4.135
_cell_length_b 5.336
_cell_length_c 8.204
_cell_angle_alpha 90.00
_cell_angle_beta 90.00
_cell_angle_gamma 90.00
_symmetry_space_group_name_H-M 'C m m m'
_symmetry_Int_Tables_number 65
_symmetry_space_group_name_Hall '-C 2 2'
loop_
_atom_site_label
_atom_site_type_symbol
_atom_site_fract_x
_atom_site_fract_y
_atom_site_fract_z
Tl1 Tl 0.000 0.000 0.000
Hg1 Hg 0.000 0.500 0.284
P1 P 0.000 0.000 0.500
```



(3)
Below is a crystal of AgSbOsI2 relaxed with PBEsol, with properties calculated at the meta-GGA SCAN level.

Summary:
formation energy from raw total energies: 800 kJ/mol of formula units

Structure (CIF):
```
data_AgSbOsI2
_cell_length_a 5.357
_cell_length_b 5.357
_cell_length_c 5.375
_cell_angle_alpha 90.00
_cell_angle_beta 90.00
_cell_angle_gamma 90.00
_symmetry_space_group_name_H-M 'P 4/m m m'
_symmetry_Int_Tables_number 123
_symmetry_space_group_name_Hall '-P 4 2'
loop_
_atom_site_label
_atom_site_type_symbol
_atom_site_fract_x
_atom_site_fract_y
_atom_site_fract_z
Ag1 Ag 0.000 0.000 0.000
Sb1 Sb 0.000 0.000 0.500
Os1 Os 0.500 0.500 0.500
I1 I 0.000 0.500 0.000
```